1.
Na2LaBiSe4 after structural relaxation, computed with PBE.

a b c (Å): 4.310 7.441 7.481
angles (deg): 109.53 90.00 90.00
Positions (direct):
Na: 0.500 0.000 0.500
Na: 0.000 0.500 0.500
La: 0.500 0.500 0.000
Bi: 0.000 0.000 0.000
Se: 0.500 0.242 0.239
Se: 0.500 0.758 0.761
Se: 0.000 0.249 0.762
Se: 0.000 0.751 0.238

- Size of the total moment: 0.00 Bohr magnetons per cell

***

2.
Ho2AuSe after structural relaxation, computed with PBE.

a b c (Å): 3.972 3.972 7.651
angles (deg): 90.00 105.04 120.02
Positions (direct):
Ho: 0.500 0.250 0.750
Ho: 0.500 0.750 0.250
Au: 0.000 0.500 0.500
Se: 0.000 0.000 0.000

- Size of the total moment: 0.00 Bohr magnetons per cell

***

3.
Zr2ScBSb after structural relaxation, computed with PBE.

a b c (Å): 4.600 4.902 4.600
angles (deg): 90.00 90.00 90.00
Positions (direct):
Sc: 0.500 0.500 0.500
Sb: 0.000 0.500 0.000
B: 0.000 0.000 0.000
Zr: 0.000 0.000 0.500
Zr: 0.500 0.000 0.000

- Size of the total moment: 0.00 Bohr magnetons per cell

***

no.,raw total energy (eV per atom)
1,-4.4188
2,-5.2410
3,-6.8874